[1]
A geometry-optimized CrCN2O structure. Source: Alexandria via LeMat-Bulk, functional PBE+U.

The structure in POSCAR format:
```
CrCN2O
1.0
3.799 0.000 0.000
0.000 3.799 0.000
0.000 0.000 3.506
Cr C N O
1 1 2 1
direct
0.000 0.000 0.000
0.500 0.500 0.500
0.000 0.500 0.000
0.500 0.000 0.000
0.000 0.000 0.500
```

[2]
A geometry-optimized CrCNO2 structure. Source: Alexandria via LeMat-Bulk, functional PBE+U.

The structure in POSCAR format:
```
CrCNO2
1.0
4.116 0.000 0.000
0.000 4.116 0.000
0.000 0.000 2.557
Cr C N O
1 1 1 2
direct
0.000 0.000 0.000
0.500 0.500 0.500
0.500 0.500 0.000
0.000 0.500 0.500
0.500 0.000 0.500
```

[3]
A geometry-optimized CrCNO2 structure. Source: Alexandria via LeMat-Bulk, functional PBE+U.

The structure in POSCAR format:
```
CrCNO2
1.0
3.564 0.000 0.000
0.000 3.564 0.000
0.000 0.000 3.969
Cr C N O
1 1 1 2
direct
0.000 0.000 0.000
0.500 0.500 0.500
0.000 0.000 0.500
0.000 0.500 0.000
0.500 0.000 0.000
```

[4]
A geometry-optimized CrCN2O structure. Source: Alexandria via LeMat-Bulk, functional PBE+U.

The structure in POSCAR format:
```
CrCN2O
1.0
2.921 0.000 0.000
0.000 2.921 0.000
0.000 0.000 6.056
Cr C N O
1 1 2 1
direct
0.000 0.000 0.000
0.500 0.500 0.500
0.000 0.500 0.500
0.500 0.000 0.500
0.500 0.500 0.000
```

no.,total energy (eV per atom),calculated density (Mg/m³)
1,-5.56,3.5
2,-6.38,4.2
3,-5.55,3.6
4,-6.37,3.5